1.
Entry from OQMD: a relaxed structure of Hf2P3W4N3 (PBE-GGA).

Unit cell a=9.7742 b=5.7045 c=11.8738 alpha=90.00 beta=105.33 gamma=90.00
Space group C2/c (No. 15)
Asymmetric unit:
Hf  0.0588  0.0924  0.3956 x8
P  0.0000  0.4379  0.2500 x4
P  0.1763  0.1019  0.7459 x8
W  0.1217  0.4494  0.5968 x8
W  0.2025  0.4041  0.9023 x8
N  0.0748  0.2279  0.9982 x8
N  0.2500  0.2500  0.5000 x4

The total moment comes out at 0.01 μB/cell. As for the total energy: -474.37 eV per cell.

=====

2.
Entry from OQMD: a relaxed structure of Hf4Zr2P3N3 (PBE-GGA).

Unit cell a=10.0938 b=5.8285 c=12.4705 alpha=90.00 beta=105.63 gamma=90.00
Space group C2/c (No. 15)
Asymmetric unit:
Hf  0.1175  0.0850  0.1020 x8
Hf  0.2169  0.0826  0.3979 x8
Zr  0.0481  0.4178  0.8970 x8
P  0.0000  0.0798  0.7500 x4
P  0.1686  0.4152  0.2507 x8
N  0.0864  0.2405  0.5000 x8
N  0.2500  0.2500  0.0000 x4

The total moment comes out at 0.01 μB/cell. As for the total energy: -462.59 eV per cell.